Density functional theory data (GGA+U) for crystalline Al2W2O7 at its relaxed geometry.

a b c (Å): 6.1632 6.9100 7.2116
angles (deg): 69.62 72.35 67.21
Atoms (fractional coordinates):
Al (0.0000, 0.0000, 0.0000)
Al (0.0750, 0.9733, 0.4963)
Al (0.1858, 0.3309, 0.8793)
Al (0.6311, 0.9800, 0.8720)
W (0.1650, 0.4902, 0.3186)
W (0.5313, 0.4438, 0.4828)
W (0.5700, 0.5068, 0.9081)
W (0.6398, 0.8966, 0.4152)
O (0.0263, 0.8425, 0.3037)
O (0.1838, 0.4384, 0.6158)
O (0.2182, 0.5022, 0.0107)
O (0.2613, 0.1584, 0.3811)
O (0.2950, 0.0372, 0.9439)
O (0.3685, 0.7544, 0.5218)
O (0.4825, 0.5676, 0.1887)
O (0.5436, 0.2893, 0.7821)
O (0.6487, 0.7773, 0.7497)
O (0.7011, 0.9581, 0.1041)
O (0.7377, 0.1399, 0.4506)
O (0.8089, 0.5606, 0.4166)
O (0.8857, 0.3010, 0.9739)
O (0.9630, 0.9609, 0.7670)

Properties
Electronic total energy (eV per cell): -162.2
Energy relative to the lowest polymorph listed for this composition (eV per atom): 0.000
SG: No. 1
Total magnetization (μB/f.u.): 3.04
Crystal system: triclinic